No. 1
## Ba2NiAsRu (PBE-GGA)

Data for a relaxed structure of Ba2NiAsRu.

a b c (Å): 6.272 6.272 4.545
angles (deg): 90.00 90.00 90.00
Fractional coordinates of all 5 atoms:
Ba: 0.000 0.500 0.000
Ba: 0.500 0.000 0.000
Ni: 0.000 0.000 0.500
As: 0.500 0.500 0.000
Ru: 0.500 0.500 0.500

## Properties
DOS(E_F)   6.61 states/eV/cell
Formation energy   0.30 eV/atom
Size of the total moment   1.0 μB/cell

No. 2
## BaNi2AsRu (PBE-GGA)

Data for a relaxed structure of BaNi2AsRu.

a b c (Å): 4.841 4.841 4.643
angles (deg): 90.00 90.00 90.00
Fractional coordinates of all 5 atoms:
Ba: 0.000 0.000 0.000
Ni: 0.000 0.500 0.500
Ni: 0.500 0.000 0.500
As: 0.500 0.500 0.000
Ru: 0.500 0.500 0.500

## Properties
DOS(E_F)   4.78 states/eV/cell
Formation energy   0.15 eV/atom
Size of the total moment   1.9 μB/cell

No. 3
## BaNi3SbAs (PBE-GGA)

Data for a relaxed structure of BaNi3SbAs.

a b c (Å): 7.387 7.387 6.079
angles (deg): 90.00 90.00 128.61
Fractional coordinates of all 12 atoms:
Ba: 0.249 0.751 0.750
Ba: 0.751 0.249 0.250
Ni: 0.245 0.755 0.250
Ni: 0.294 0.294 0.000
Ni: 0.294 0.294 0.500
Ni: 0.706 0.706 0.000
Ni: 0.706 0.706 0.500
Ni: 0.755 0.245 0.750
Sb: 0.063 0.937 0.250
Sb: 0.937 0.063 0.750
As: 0.412 0.588 0.250
As: 0.588 0.412 0.750

## Properties
DOS(E_F)   8.74 states/eV/cell
Formation energy without anion corrections   -0.333 eV/atom
Size of the total moment   0.0 μB/cell

No. 4
## BaNiAsSe2 (PBE-GGA)

Data for a relaxed structure of BaNiAsSe2.

a b c (Å): 5.220 5.220 4.437
angles (deg): 90.00 90.00 90.00
Fractional coordinates of all 5 atoms:
Ba: 0.000 0.000 0.000
Ni: 0.500 0.500 0.500
As: 0.500 0.500 0.000
Se: 0.000 0.500 0.500
Se: 0.500 0.000 0.500

## Properties
DOS(E_F)   1.94 states/eV/cell
Formation energy without anion corrections   -0.666 eV/atom
Size of the total moment   0.0 μB/cell
Distance to the lowest polymorph of the same formula   0.0 meV per atom

No. 5
## BaNiAs2Se (PBE-GGA)

Data for a relaxed structure of BaNiAs2Se.

a b c (Å): 4.698 4.698 5.362
angles (deg): 90.00 90.00 90.00
Fractional coordinates of all 5 atoms:
Ba: 0.000 0.000 0.000
Ni: 0.500 0.500 0.500
As: 0.000 0.500 0.500
As: 0.500 0.000 0.500
Se: 0.500 0.500 0.000

## Properties
DOS(E_F)   5.06 states/eV/cell
Formation energy without anion corrections   -0.453 eV/atom
Size of the total moment   0.0 μB/cell
Distance to the lowest polymorph of the same formula   0.0 meV per atom

No. 6
## BaNiAsSe2 (PBE-GGA)

Data for a relaxed structure of BaNiAsSe2.

a b c (Å): 5.843 5.843 5.680
angles (deg): 90.00 90.00 90.00
Fractional coordinates of all 5 atoms:
Ba: 0.000 0.000 0.000
Ni: 0.500 0.500 0.500
As: 0.000 0.000 0.500
Se: 0.000 0.500 0.000
Se: 0.500 0.000 0.000

## Properties
DOS(E_F)   13.73 states/eV/cell
Formation energy without anion corrections   1.192 eV/atom
Size of the total moment   1.3 μB/cell
Distance to the lowest polymorph of the same formula   1858.6 meV per atom

No. 7
## BaNiAs2Se (PBE-GGA)

Data for a relaxed structure of BaNiAs2Se.

a b c (Å): 5.916 5.916 5.932
angles (deg): 90.00 90.00 90.00
Fractional coordinates of all 5 atoms:
Ba: 0.000 0.000 0.000
Ni: 0.500 0.500 0.500
As: 0.000 0.500 0.000
As: 0.500 0.000 0.000
Se: 0.000 0.000 0.500

## Properties
DOS(E_F)   14.31 states/eV/cell
Formation energy without anion corrections   1.448 eV/atom
Size of the total moment   2.6 μB/cell
Distance to the lowest polymorph of the same formula   1901.0 meV per atom

No. 8
## BaSiNiAs2 (PBE-GGA)

Data for a relaxed structure of BaSiNiAs2.

a b c (Å): 5.054 5.054 4.436
angles (deg): 90.00 90.00 90.00
Fractional coordinates of all 5 atoms:
Ba: 0.000 0.000 0.000
Si: 0.500 0.500 0.000
Ni: 0.500 0.500 0.500
As: 0.000 0.500 0.500
As: 0.500 0.000 0.500

## Properties
DOS(E_F)   4.36 states/eV/cell
Formation energy without anion corrections   -0.153 eV/atom
Size of the total moment   0.0 μB/cell

No. 9
## BaNiSnAs (PBE-GGA)

Data for a relaxed structure of BaNiSnAs.

a b c (Å): 4.242 4.242 11.839
angles (deg): 90.00 90.00 90.00
Fractional coordinates of all 8 atoms:
Ba: 0.250 0.250 0.231
Ba: 0.750 0.750 0.769
Ni: 0.250 0.750 0.000
Ni: 0.750 0.250 0.000
Sn: 0.250 0.750 0.500
Sn: 0.750 0.250 0.500
As: 0.250 0.250 0.905
As: 0.750 0.750 0.095

## Properties
DOS(E_F)   8.06 states/eV/cell
Formation energy   -0.55 eV/atom
Size of the total moment   0.0 μB/cell

No. 10
## BaUNi2As2 (PBE-GGA)

Data for a relaxed structure of BaUNi2As2.

a b c (Å): 4.137 4.137 8.521
angles (deg): 90.00 90.00 120.00
Fractional coordinates of all 6 atoms:
Ba: 0.000 0.000 0.000
U: 0.000 0.000 0.500
Ni: 0.333 0.667 0.318
Ni: 0.667 0.333 0.682
As: 0.333 0.667 0.722
As: 0.667 0.333 0.278

## Properties
DOS(E_F)   4.56 states/eV/cell
Formation energy   -0.72 eV/atom
Size of the total moment   1.8 μB/cell

No. 11
## BaNiAs2W (PBE-GGA)

Data for a relaxed structure of BaNiAs2W.

a b c (Å): 4.928 4.928 4.763
angles (deg): 90.00 90.00 90.00
Fractional coordinates of all 5 atoms:
Ba: 0.000 0.000 0.000
Ni: 0.500 0.500 0.500
As: 0.000 0.500 0.500
As: 0.500 0.000 0.500
W: 0.500 0.500 0.000

## Properties
DOS(E_F)   4.67 states/eV/cell
Formation energy   0.60 eV/atom
Size of the total moment   2.6 μB/cell

No. 12
## Ba5NpAs4 (PBE-GGA)

Data for a relaxed structure of Ba5NpAs4.

a b c (Å): 10.315 10.315 9.119
angles (deg): 102.92 102.92 25.69
Fractional coordinates of all 10 atoms:
Ba: 0.000 0.000 0.000
Ba: 0.332 0.332 0.653
Ba: 0.341 0.341 0.177
Ba: 0.659 0.659 0.823
Ba: 0.668 0.668 0.347
Np: 0.000 0.000 0.500
As: 0.154 0.154 0.583
As: 0.498 0.498 0.720
As: 0.502 0.502 0.280
As: 0.846 0.846 0.417

## Properties
DOS(E_F)   13.84 states/eV/cell
Formation energy   -0.81 eV/atom
Size of the total moment   4.9 μB/cell

No. 13
## BaNpAs2 (PBE-GGA)

Data for a relaxed structure of BaNpAs2.

a b c (Å): 3.687 3.687 7.718
angles (deg): 90.00 90.00 90.00
Fractional coordinates of all 4 atoms:
Ba: 0.000 0.000 0.000
Np: 0.000 0.000 0.500
As: 0.500 0.500 0.292
As: 0.500 0.500 0.708

## Properties
DOS(E_F)   8.77 states/eV/cell
Formation energy   -0.64 eV/atom
Size of the total moment   3.2 μB/cell
Distance to the lowest polymorph of the same formula   196.1 meV per atom

No. 14
## BaNpAs2 (PBE-GGA)

Data for a relaxed structure of BaNpAs2.

a b c (Å): 8.016 8.016 8.016
angles (deg): 31.08 31.08 31.08
Fractional coordinates of all 4 atoms:
Ba: 0.000 0.000 0.000
Np: 0.170 0.170 0.170
As: 0.570 0.570 0.570
As: 0.769 0.769 0.769

## Properties
DOS(E_F)   7.90 states/eV/cell
Formation energy   -0.78 eV/atom
Size of the total moment   3.0 μB/cell
Distance to the lowest polymorph of the same formula   58.2 meV per atom

No. 15
## BaNpAs2 (PBE-GGA)

Data for a relaxed structure of BaNpAs2.

a b c (Å): 7.842 7.842 7.842
angles (deg): 32.12 32.12 32.12
Fractional coordinates of all 4 atoms:
Ba: 0.000 0.000 0.000
Np: 0.500 0.500 0.500
As: 0.233 0.233 0.233
As: 0.767 0.767 0.767

## Properties
DOS(E_F)   8.63 states/eV/cell
Formation energy   -0.84 eV/atom
Size of the total moment   3.0 μB/cell
Distance to the lowest polymorph of the same formula   0.0 meV per atom

No. 16
## BaNpAsO2 (PBE-GGA)

Data for a relaxed structure of BaNpAsO2.

a b c (Å): 6.677 6.677 8.172
angles (deg): 90.00 90.00 143.54
Fractional coordinates of all 10 atoms:
Ba: 0.229 0.771 0.750
Ba: 0.771 0.229 0.250
Np: 0.500 0.500 0.000
Np: 0.500 0.500 0.500
As: 0.041 0.959 0.250
As: 0.959 0.041 0.750
O: 0.352 0.648 0.052
O: 0.352 0.648 0.448
O: 0.648 0.352 0.552
O: 0.648 0.352 0.948

## Properties
DOS(E_F)   11.69 states/eV/cell
Formation energy without anion corrections   -2.269 eV/atom
Size of the total moment   4.0 μB/cell

No. 17
## BaNpAsO5 (PBE-GGA)

Data for a relaxed structure of BaNpAsO5.

a b c (Å): 6.369 6.369 8.419
angles (deg): 106.62 106.62 101.41
Fractional coordinates of all 16 atoms:
Ba: 0.068 0.932 0.750
Ba: 0.932 0.068 0.250
Np: 0.000 0.500 0.000
Np: 0.500 0.000 0.500
As: 0.441 0.559 0.750
As: 0.559 0.441 0.250
O: 0.152 0.267 0.057
O: 0.223 0.777 0.250
O: 0.251 0.608 0.865
O: 0.267 0.152 0.557
O: 0.392 0.749 0.635
O: 0.608 0.251 0.365
O: 0.733 0.848 0.443
O: 0.749 0.392 0.135
O: 0.777 0.223 0.750
O: 0.848 0.733 0.943

## Properties
DOS(E_F)   9.40 states/eV/cell
Formation energy without anion corrections   -2.377 eV/atom
Size of the total moment   4.0 μB/cell

No. 18
## BaNpAsO6 (PBE-GGA)

Data for a relaxed structure of BaNpAsO6.

a b c (Å): 5.473 5.804 5.991
angles (deg): 118.80 90.17 90.22
Fractional coordinates of all 9 atoms:
Ba: 0.000 0.000 0.000
Np: 0.491 0.343 0.671
As: 0.479 0.737 0.411
O: 0.266 0.374 0.921
O: 0.292 0.657 0.614
O: 0.293 0.010 0.396
O: 0.674 0.992 0.656
O: 0.693 0.325 0.407
O: 0.707 0.596 0.927

## Properties
Formation energy without anion corrections   -2.321 eV/atom
Size of the total moment   0.0 μB/cell

No. 19
## BaNp2As2P (PBE-GGA)

Data for a relaxed structure of BaNp2As2P.

a b c (Å): 5.181 5.181 6.490
angles (deg): 90.00 90.00 90.00
Fractional coordinates of all 6 atoms:
Ba: 0.000 0.000 0.000
Np: 0.000 0.500 0.500
Np: 0.500 0.000 0.500
As: 0.500 0.500 0.237
As: 0.500 0.500 0.763
P: 0.000 0.000 0.500

## Properties
DOS(E_F)   13.99 states/eV/cell
Formation energy   -0.55 eV/atom
Size of the total moment   8.1 μB/cell

No. 20
## BaNpAs2Pd2 (PBE-GGA)

Data for a relaxed structure of BaNpAs2Pd2.

a b c (Å): 4.398 4.398 8.368
angles (deg): 90.00 90.00 120.00
Fractional coordinates of all 6 atoms:
Ba: 0.000 0.000 0.000
Np: 0.000 0.000 0.500
As: 0.333 0.667 0.294
As: 0.667 0.333 0.706
Pd: 0.333 0.667 0.722
Pd: 0.667 0.333 0.278

## Properties
DOS(E_F)   10.82 states/eV/cell
Formation energy   -0.80 eV/atom
Size of the total moment   3.4 μB/cell

No. 21
## Ba2NpAs3Pd4 (PBE-GGA)

Data for a relaxed structure of Ba2NpAs3Pd4.

a b c (Å): 4.455 4.455 11.496
angles (deg): 90.00 90.00 90.00
Fractional coordinates of all 10 atoms:
Ba: 0.000 0.500 0.228
Ba: 0.500 0.000 0.772
Np: 0.000 0.000 0.500
As: 0.000 0.500 0.882
As: 0.500 0.000 0.118
As: 0.500 0.500 0.500
Pd: 0.000 0.000 0.000
Pd: 0.000 0.500 0.655
Pd: 0.500 0.000 0.345
Pd: 0.500 0.500 0.000

## Properties
DOS(E_F)   11.08 states/eV/cell
Formation energy   -0.64 eV/atom
Size of the total moment   4.4 μB/cell

No. 22
## BaNpAs2Pt2 (PBE-GGA)

Data for a relaxed structure of BaNpAs2Pt2.

a b c (Å): 4.357 4.357 8.571
angles (deg): 90.00 90.00 120.00
Fractional coordinates of all 6 atoms:
Ba: 0.000 0.000 0.000
Np: 0.000 0.000 0.500
As: 0.333 0.667 0.734
As: 0.667 0.333 0.266
Pt: 0.333 0.667 0.305
Pt: 0.667 0.333 0.695

## Properties
DOS(E_F)   9.47 states/eV/cell
Formation energy   -0.86 eV/atom
Size of the total moment   3.4 μB/cell

No. 23
## Ba2ThNpAs4 (PBE-GGA)

Data for a relaxed structure of Ba2ThNpAs4.

a b c (Å): 7.597 4.394 7.920
angles (deg): 90.00 108.66 90.00
Fractional coordinates of all 8 atoms:
Ba: 0.000 0.000 0.000
Ba: 0.500 0.500 0.000
Th: 0.000 0.500 0.500
Np: 0.500 0.000 0.500
As: 0.243 0.000 0.709
As: 0.272 0.500 0.296
As: 0.728 0.500 0.704
As: 0.757 0.000 0.291

## Properties
DOS(E_F)   10.41 states/eV/cell
Formation energy   -1.07 eV/atom
Size of the total moment   3.0 μB/cell

No. 24
## Ba5As2O2 (PBE-GGA)

Data for a relaxed structure of Ba5As2O2.

a b c (Å): 11.820 11.820 11.820
angles (deg): 53.60 142.06 143.59
Fractional coordinates of all 18 atoms:
Ba: 0.219 0.419 0.083
Ba: 0.219 0.636 0.300
Ba: 0.246 0.012 0.258
Ba: 0.246 0.488 0.734
Ba: 0.336 0.136 0.917
Ba: 0.336 0.919 0.700
Ba: 0.734 0.607 0.628
Ba: 0.754 0.512 0.266
Ba: 0.754 0.988 0.742
Ba: 0.979 0.107 0.372
As: 0.722 0.132 0.372
As: 0.722 0.850 0.090
As: 0.760 0.350 0.628
As: 0.760 0.632 0.910
O: 0.137 0.958 0.679
O: 0.254 0.254 0.000
O: 0.254 0.754 0.500
O: 0.280 0.458 0.321

## Properties
Formation energy without anion corrections   -1.709 eV/atom
Size of the total moment   0.0 μB/cell
Distance to the lowest polymorph of the same formula   0.0 meV per atom